The following is a DFT calculation (GGA-PBE) of a relaxed structure of RbHfZnSe3.

Values from the calculation:
- total moment (μB per formula unit) = 0.0
- total energy (eV/atom) = -4.84

```
12
Lattice="-5.3190 -6.9703 2.4145 1.7969 -0.1642 3.4844 -3.9182 8.8157 2.4360" Properties=species:S:1:pos:R:3 pbc="T T T"
Rb -0.6752 0.6010 3.6906
Rb -6.7652 1.0802 4.6444
Se -2.7609 6.5565 5.0468
Se -4.6794 -4.8752 3.2881
Se -4.5304 -1.6212 5.5740
Se -4.7886 3.5075 5.9488
Se -2.9099 3.3025 2.7609
Se -2.6518 -1.8262 2.3861
Hf -4.8708 5.2040 3.8617
Hf -2.5696 -3.5227 4.4732
Zn -5.9577 -2.9534 4.0379
Zn -1.4826 4.6347 4.2971
```